<A>
# PSeNF2 | the Alexandria database | GGA-PBE | relaxed
data_PSeNF2
_chemical_formula_sum 'P1 Se1 N1 F2'
_cell_length_a 4.349
_cell_length_b 4.349
_cell_length_c 3.884
_cell_angle_alpha 90.00
_cell_angle_beta 90.00
_cell_angle_gamma 90.00
_symmetry_space_group_name_H-M 'P 1'
_symmetry_Int_Tables_number 1
loop_
_symmetry_equiv_pos_as_xyz
'x,y,z'
loop_
_atom_site_label
_atom_site_type_symbol
_atom_site_fract_x
_atom_site_fract_y
_atom_site_fract_z
_atom_site_occupancy
N1 N 0.000 0.000 0.500 1
F1 F 0.500 0.000 0.000 1
F2 F 0.000 0.500 0.000 1
P1 P 0.500 0.500 0.500 1
Se1 Se 0.000 0.000 0.000 1
# D(E_F) (states/eV/f.u.): 2.88
# Space-group type: P4/mmm (123)

***

<B>
# PSeNF2 | the Alexandria database | GGA-PBE | relaxed
data_PSeNF2
_chemical_formula_sum 'P1 Se1 N1 F2'
_cell_length_a 3.731
_cell_length_b 3.731
_cell_length_c 4.711
_cell_angle_alpha 90.00
_cell_angle_beta 90.00
_cell_angle_gamma 90.00
_symmetry_space_group_name_H-M 'P 1'
_symmetry_Int_Tables_number 1
loop_
_symmetry_equiv_pos_as_xyz
'x,y,z'
loop_
_atom_site_label
_atom_site_type_symbol
_atom_site_fract_x
_atom_site_fract_y
_atom_site_fract_z
_atom_site_occupancy
F1 F 0.000 0.500 0.000 1
P1 P 0.000 0.000 0.000 1
Se1 Se 0.500 0.500 0.500 1
N1 N 0.000 0.000 0.500 1
F2 F 0.500 0.000 0.000 1
# D(E_F) (states/eV/f.u.): 4.42
# Space-group type: P4/mmm (123)

***

Which structure loses on stability? <A> does.

***

<A>
# SiPNF2 | the Alexandria database | GGA-PBE | relaxed
data_SiPNF2
_chemical_formula_sum 'Si1 P1 N1 F2'
_cell_length_a 4.069
_cell_length_b 4.069
_cell_length_c 3.339
_cell_angle_alpha 90.00
_cell_angle_beta 90.00
_cell_angle_gamma 90.00
_symmetry_space_group_name_H-M 'P 1'
_symmetry_Int_Tables_number 1
loop_
_symmetry_equiv_pos_as_xyz
'x,y,z'
loop_
_atom_site_label
_atom_site_type_symbol
_atom_site_fract_x
_atom_site_fract_y
_atom_site_fract_z
_atom_site_occupancy
F1 F 0.500 0.000 0.000 1
N1 N 0.000 0.000 0.500 1
P1 P 0.500 0.500 0.500 1
F2 F 0.000 0.500 0.000 1
Si1 Si 0.000 0.000 0.000 1
# D(E_F) (states/eV/f.u.): 1.83
# Space-group type: P4/mmm (123)

***

<B>
# SiPNF2 | the Alexandria database | GGA-PBE | relaxed
data_SiPNF2
_chemical_formula_sum 'Si1 P1 N1 F2'
_cell_length_a 4.462
_cell_length_b 4.462
_cell_length_c 3.314
_cell_angle_alpha 90.00
_cell_angle_beta 90.00
_cell_angle_gamma 90.00
_symmetry_space_group_name_H-M 'P 1'
_symmetry_Int_Tables_number 1
loop_
_symmetry_equiv_pos_as_xyz
'x,y,z'
loop_
_atom_site_label
_atom_site_type_symbol
_atom_site_fract_x
_atom_site_fract_y
_atom_site_fract_z
_atom_site_occupancy
Si1 Si 0.500 0.500 0.500 1
F1 F 0.000 0.500 0.000 1
F2 F 0.500 0.000 0.000 1
P1 P 0.000 0.000 0.000 1
N1 N 0.000 0.000 0.500 1
# D(E_F) (states/eV/f.u.): 1.35
# Space-group type: P4/mmm (123)

***

Which structure loses on stability? <B> does.

***

<A>
# SnPN2F | the Alexandria database | GGA-PBE | relaxed
data_SnPN2F
_chemical_formula_sum 'Sn1 P1 N2 F1'
_cell_length_a 3.625
_cell_length_b 3.625
_cell_length_c 4.428
_cell_angle_alpha 90.00
_cell_angle_beta 90.00
_cell_angle_gamma 90.00
_symmetry_space_group_name_H-M 'P 1'
_symmetry_Int_Tables_number 1
loop_
_symmetry_equiv_pos_as_xyz
'x,y,z'
loop_
_atom_site_label
_atom_site_type_symbol
_atom_site_fract_x
_atom_site_fract_y
_atom_site_fract_z
_atom_site_occupancy
F1 F 0.000 0.000 0.500 1
P1 P 0.000 0.000 0.000 1
N1 N 0.500 0.000 0.000 1
Sn1 Sn 0.500 0.500 0.500 1
N2 N 0.000 0.500 0.000 1
# D(E_F) (states/eV/f.u.): 1.76
# Space-group type: P4/mmm (123)

***

<B>
# SnPN2F | the Alexandria database | GGA-PBE | relaxed
data_SnPN2F
_chemical_formula_sum 'Sn1 P1 N2 F1'
_cell_length_a 4.162
_cell_length_b 4.162
_cell_length_c 4.003
_cell_angle_alpha 90.00
_cell_angle_beta 90.00
_cell_angle_gamma 90.00
_symmetry_space_group_name_H-M 'P 1'
_symmetry_Int_Tables_number 1
loop_
_symmetry_equiv_pos_as_xyz
'x,y,z'
loop_
_atom_site_label
_atom_site_type_symbol
_atom_site_fract_x
_atom_site_fract_y
_atom_site_fract_z
_atom_site_occupancy
Sn1 Sn 0.000 0.000 0.000 1
N1 N 0.000 0.500 0.000 1
P1 P 0.500 0.500 0.500 1
F1 F 0.000 0.000 0.500 1
N2 N 0.500 0.000 0.000 1
# D(E_F) (states/eV/f.u.): 1.47
# Space-group type: P4/mmm (123)

***

Which structure loses on stability? <B> does.

***

<A>
# SrPNF2 | the Alexandria database | GGA-PBE | relaxed
data_SrPNF2
_chemical_formula_sum 'Sr1 P1 N1 F2'
_cell_length_a 4.562
_cell_length_b 4.562
_cell_length_c 5.500
_cell_angle_alpha 90.00
_cell_angle_beta 90.00
_cell_angle_gamma 90.00
_symmetry_space_group_name_H-M 'P 1'
_symmetry_Int_Tables_number 1
loop_
_symmetry_equiv_pos_as_xyz
'x,y,z'
loop_
_atom_site_label
_atom_site_type_symbol
_atom_site_fract_x
_atom_site_fract_y
_atom_site_fract_z
_atom_site_occupancy
N1 N 0.000 0.000 0.500 1
Sr1 Sr 0.000 0.000 0.000 1
F1 F 0.000 0.500 0.000 1
P1 P 0.500 0.500 0.500 1
F2 F 0.500 0.000 0.000 1
# D(E_F) (states/eV/f.u.): 3.86
# Space-group type: P4/mmm (123)

***

<B>
# SrPNF2 | the Alexandria database | GGA-PBE | relaxed
data_SrPNF2
_chemical_formula_sum 'Sr1 P1 N1 F2'
_cell_length_a 4.509
_cell_length_b 4.509
_cell_length_c 3.569
_cell_angle_alpha 90.00
_cell_angle_beta 90.00
_cell_angle_gamma 90.00
_symmetry_space_group_name_H-M 'P 1'
_symmetry_Int_Tables_number 1
loop_
_symmetry_equiv_pos_as_xyz
'x,y,z'
loop_
_atom_site_label
_atom_site_type_symbol
_atom_site_fract_x
_atom_site_fract_y
_atom_site_fract_z
_atom_site_occupancy
F1 F 0.000 0.500 0.000 1
P1 P 0.000 0.000 0.000 1
N1 N 0.000 0.000 0.500 1
F2 F 0.500 0.000 0.000 1
Sr1 Sr 0.500 0.500 0.500 1
# D(E_F) (states/eV/f.u.): 0.90
# Space-group type: P4/mmm (123)

***

Which structure loses on stability? <A> does.

***

<A>
# Te2PNF | the Alexandria database | GGA-PBE | relaxed
data_Te2PNF
_chemical_formula_sum 'Te2 P1 N1 F1'
_cell_length_a 5.409
_cell_length_b 5.409
_cell_length_c 3.227
_cell_angle_alpha 90.00
_cell_angle_beta 90.00
_cell_angle_gamma 90.00
_symmetry_space_group_name_H-M 'P 1'
_symmetry_Int_Tables_number 1
loop_
_symmetry_equiv_pos_as_xyz
'x,y,z'
loop_
_atom_site_label
_atom_site_type_symbol
_atom_site_fract_x
_atom_site_fract_y
_atom_site_fract_z
_atom_site_occupancy
Te1 Te 0.000 0.500 0.000 1
Te2 Te 0.500 0.000 0.000 1
F1 F 0.500 0.500 0.500 1
N1 N 0.000 0.000 0.500 1
P1 P 0.000 0.000 0.000 1
# D(E_F) (states/eV/f.u.): 4.13
# Space-group type: P4/mmm (123)

***

<B>
# Te2PNF | the Alexandria database | GGA-PBE | relaxed
data_Te2PNF
_chemical_formula_sum 'Te2 P1 N1 F1'
_cell_length_a 4.967
_cell_length_b 4.967
_cell_length_c 3.741
_cell_angle_alpha 90.00
_cell_angle_beta 90.00
_cell_angle_gamma 90.00
_symmetry_space_group_name_H-M 'P 1'
_symmetry_Int_Tables_number 1
loop_
_symmetry_equiv_pos_as_xyz
'x,y,z'
loop_
_atom_site_label
_atom_site_type_symbol
_atom_site_fract_x
_atom_site_fract_y
_atom_site_fract_z
_atom_site_occupancy
F1 F 0.000 0.000 0.000 1
N1 N 0.000 0.000 0.500 1
P1 P 0.500 0.500 0.500 1
Te1 Te 0.000 0.500 0.000 1
Te2 Te 0.500 0.000 0.000 1
# D(E_F) (states/eV/f.u.): 3.48
# Space-group type: P4/mmm (123)

***

Which structure loses on stability? <B> does.

***

<A>
# TiPNF2 | the Alexandria database | GGA-PBE | relaxed
data_TiPNF2
_chemical_formula_sum 'Ti1 P1 N1 F2'
_cell_length_a 4.484
_cell_length_b 4.484
_cell_length_c 3.319
_cell_angle_alpha 90.00
_cell_angle_beta 90.00
_cell_angle_gamma 90.00
_symmetry_space_group_name_H-M 'P 1'
_symmetry_Int_Tables_number 1
loop_
_symmetry_equiv_pos_as_xyz
'x,y,z'
loop_
_atom_site_label
_atom_site_type_symbol
_atom_site_fract_x
_atom_site_fract_y
_atom_site_fract_z
_atom_site_occupancy
P1 P 0.000 0.000 0.000 1
Ti1 Ti 0.500 0.500 0.500 1
F1 F 0.000 0.500 0.000 1
F2 F 0.500 0.000 0.000 1
N1 N 0.000 0.000 0.500 1
# D(E_F) (states/eV/f.u.): 2.93
# Space-group type: P4/mmm (123)

***

<B>
# TiPNF2 | the Alexandria database | GGA-PBE | relaxed
data_TiPNF2
_chemical_formula_sum 'Ti1 P1 N1 F2'
_cell_length_a 3.909
_cell_length_b 3.909
_cell_length_c 4.159
_cell_angle_alpha 90.00
_cell_angle_beta 90.00
_cell_angle_gamma 90.00
_symmetry_space_group_name_H-M 'P 1'
_symmetry_Int_Tables_number 1
loop_
_symmetry_equiv_pos_as_xyz
'x,y,z'
loop_
_atom_site_label
_atom_site_type_symbol
_atom_site_fract_x
_atom_site_fract_y
_atom_site_fract_z
_atom_site_occupancy
Ti1 Ti 0.000 0.000 0.000 1
P1 P 0.500 0.500 0.500 1
F1 F 0.000 0.500 0.000 1
N1 N 0.000 0.000 0.500 1
F2 F 0.500 0.000 0.000 1
# D(E_F) (states/eV/f.u.): 1.91
# Space-group type: P4/mmm (123)

***

Which structure loses on stability? <A> does.

***

<A>
# TlPNF2 | the Alexandria database | GGA-PBE | relaxed
data_TlPNF2
_chemical_formula_sum 'Tl1 P1 N1 F2'
_cell_length_a 4.431
_cell_length_b 4.431
_cell_length_c 4.537
_cell_angle_alpha 90.00
_cell_angle_beta 90.00
_cell_angle_gamma 90.00
_symmetry_space_group_name_H-M 'P 1'
_symmetry_Int_Tables_number 1
loop_
_symmetry_equiv_pos_as_xyz
'x,y,z'
loop_
_atom_site_label
_atom_site_type_symbol
_atom_site_fract_x
_atom_site_fract_y
_atom_site_fract_z
_atom_site_occupancy
Tl1 Tl 0.000 0.000 0.000 1
P1 P 0.500 0.500 0.500 1
F1 F 0.000 0.500 0.000 1
F2 F 0.500 0.000 0.000 1
N1 N 0.000 0.000 0.500 1
# D(E_F) (states/eV/f.u.): 1.87
# Space-group type: P4/mmm (123)

***

<B>
# TlPNF2 | the Alexandria database | GGA-PBE | relaxed
data_TlPNF2
_chemical_formula_sum 'Tl1 P1 N1 F2'
_cell_length_a 4.690
_cell_length_b 4.690
_cell_length_c 3.330
_cell_angle_alpha 90.00
_cell_angle_beta 90.00
_cell_angle_gamma 90.00
_symmetry_space_group_name_H-M 'P 1'
_symmetry_Int_Tables_number 1
loop_
_symmetry_equiv_pos_as_xyz
'x,y,z'
loop_
_atom_site_label
_atom_site_type_symbol
_atom_site_fract_x
_atom_site_fract_y
_atom_site_fract_z
_atom_site_occupancy
Tl1 Tl 0.500 0.500 0.500 1
N1 N 0.000 0.000 0.500 1
P1 P 0.000 0.000 0.000 1
F1 F 0.000 0.500 0.000 1
F2 F 0.500 0.000 0.000 1
# D(E_F) (states/eV/f.u.): 1.23
# Space-group type: P4/mmm (123)

***

Which structure loses on stability? <A> does.